No. 1
A relaxed Ti2Pb2O crystal, computed with GGA-PBE.

The structure in extended XYZ format:
```
10
Lattice="6.9921 0.0000 0.0000 0.0000 6.9921 0.0000 0.0000 0.0000 4.2579" Properties=species:S:1:pos:R:3 pbc="T T T"
Ti 4.3559 6.1322 2.1290
Ti 6.1322 2.6361 2.1290
Ti 2.6361 0.8599 2.1290
Ti 0.8599 4.3559 2.1290
Pb 2.2349 5.7309 0.0000
Pb 1.2612 2.2349 0.0000
Pb 5.7309 4.7572 0.0000
Pb 4.7572 1.2612 0.0000
O 3.4960 3.4960 0.0000
O 0.0000 0.0000 0.0000
```

Summary:
E_form (uncorrected) in eV per atom: 0.20
Calculated total energy in eV/f.u.: -27.157
D(E_F) in states/eV/f.u.: 4.6

No. 2
A relaxed LaAl6Pd2 crystal, computed with GGA-PBE.

The structure in extended XYZ format:
```
18
Lattice="-8.1659 1.7997 0.7196 -4.1132 -1.9166 7.0602 -2.5107 6.1050 5.1829" Properties=species:S:1:pos:R:3 pbc="T T T"
Al -5.9770 0.0451 3.8467
Al -9.1450 5.6128 6.1727
Al -3.3376 2.0545 5.9298
Al -6.9838 3.6310 9.5540
Al -2.1658 -0.7949 3.5108
Al -1.4179 2.9490 2.6347
Al -4.7903 4.6531 5.7889
Al -5.6448 0.3753 6.7900
Al -7.8060 2.3571 3.4087
Al -5.2291 3.7889 2.9705
Al -4.0573 0.9396 0.5515
Al -9.9995 1.3351 7.1737
Pd -3.1041 3.8010 4.2118
Pd -5.9316 1.6484 1.9801
Pd -1.8487 0.7485 1.6203
Pd -3.9053 -0.2098 5.1504
La -7.3949 2.9941 6.4813
La -11.0923 4.4911 9.7220
```

Summary:
Calculated total energy in eV/f.u.: -38.342
Formation enthalpy at 0 K in eV/f.u.: -0.6
D(E_F) in states/eV/f.u.: 4.0

No. 3
A relaxed SrNdCdIr crystal, computed with GGA-PBE.

The structure in extended XYZ format:
```
4
Lattice="-3.8230 2.7057 -2.3865 -4.5952 -2.3219 -1.0605 -4.3146 1.3677 2.6731" Properties=species:S:1:pos:R:3 pbc="T T T"
Cd -6.3664 0.8757 -0.3869
Sr -9.5496 1.3136 -0.5803
Ir 0.0000 0.0000 0.0000
Nd -3.1832 0.4379 -0.1934
```

Summary:
Calculated total energy in eV/f.u.: -17.173
Formation enthalpy at 0 K in eV/f.u.: -0.9
D(E_F) in states/eV/f.u.: 3.4

No. 4
A relaxed La4GaBr2Cl crystal, computed with GGA-PBE.

The structure in extended XYZ format:
```
8
Lattice="4.3872 0.0000 0.0000 0.0000 7.2197 -0.0057 0.0000 -2.6604 7.3516" Properties=species:S:1:pos:R:3 pbc="T T T"
La 2.1936 1.1837 1.6619
La 2.1936 3.3756 5.6839
La 0.0000 4.7319 1.6309
La 0.0000 -0.1726 5.7150
Br 0.0000 2.2796 3.6729
Br 2.1936 -1.3302 3.6758
Ga 0.0000 0.0000 0.0000
Cl 2.1936 3.6098 -0.0029
```

Summary:
E_form (uncorrected) in eV per atom: -1.22
Calculated total energy in eV/f.u.: -37.656
D(E_F) in states/eV/f.u.: 5.5

No. 5
A relaxed YCoSi crystal, computed with GGA-PBE.

The structure in extended XYZ format:
```
6
Lattice="-3.8360 -0.6698 0.4611 0.5168 -0.2911 3.8761 0.5503 7.2875 -1.5095" Properties=species:S:1:pos:R:3 pbc="T T T"
Co 0.2584 -0.1456 1.9381
Co -1.9180 -0.3349 0.2306
Si -2.5566 5.0235 2.7016
Si -0.2124 1.3031 0.1262
Y -0.7596 4.6614 0.4514
Y -2.0093 1.6653 2.3764
```

Summary:
E_form (uncorrected) in eV per atom: -0.69
Calculated total energy in eV/f.u.: -21.077
D(E_F) in states/eV/f.u.: 2.9

No. 6
A relaxed CsKHg2 crystal, computed with GGA-PBE.

The structure in extended XYZ format:
```
4
Lattice="5.9514 0.0000 0.0000 2.9757 5.1541 0.0000 2.9757 1.7180 6.2080" Properties=species:S:1:pos:R:3 pbc="T T T"
K 0.0000 0.0000 0.0000
Hg 8.9271 5.1541 5.4687
Hg 2.9757 1.7180 0.7393
Cs 5.9514 3.4361 3.1040
```

Summary:
Calculated total energy in eV/f.u.: -3.378
Formation enthalpy at 0 K in eV/f.u.: -0.8
D(E_F) in states/eV/f.u.: 2.4

No. 7
A relaxed Tm12ZrTl3 crystal, computed with GGA-PBE.

The structure in extended XYZ format:
```
16
Lattice="-3.9058 -1.5902 -2.2442 1.3976 -4.5045 0.7594 -9.6207 -0.1450 16.8466" Properties=species:S:1:pos:R:3 pbc="T T T"
Tm -6.0645 -3.1198 7.6809
Tm -7.9580 -0.8856 9.3933
Tm -2.9168 -2.3067 6.7109
Tm -3.6787 -3.0839 3.5033
Tm -7.7347 -2.3793 15.1473
Tm -5.5685 -0.8496 5.2091
Tm -0.4885 -2.2701 2.4587
Tm -8.4502 -3.1558 11.8585
Tm -10.3864 -0.9222 13.6455
Tm -3.1402 -0.8130 0.9569
Tm -5.3063 -2.3427 10.8951
Tm -1.2541 -3.0473 -0.7424
Tl -2.4372 -0.0367 4.2677
Tl -7.1835 -0.1083 12.5789
Tl -4.8104 -0.0725 8.4233
Zr 0.0000 0.0000 0.0000
```

Summary:
Calculated total energy in eV/f.u.: -71.151
Formation enthalpy at 0 K in eV/f.u.: -1.8
D(E_F) in states/eV/f.u.: 17.2

No. 8
A relaxed Sr6Ag2N crystal, computed with GGA-PBE.

The structure in extended XYZ format:
```
9
Lattice="4.4023 0.0000 0.0000 2.2011 7.3103 0.5286 2.2011 2.1171 11.4352" Properties=species:S:1:pos:R:3 pbc="T T T"
N 0.0000 0.0000 0.0000
Sr 4.4023 7.3526 10.7426
Sr 4.4023 6.6369 6.7323
Sr 4.4023 2.0748 1.2212
Sr 6.6034 3.3025 9.2382
Sr 2.2011 6.1249 2.7256
Sr 4.4023 2.7905 5.2315
Ag 2.2011 1.1037 3.5093
Ag 6.6034 8.3237 8.4545
```

Summary:
E_form (uncorrected) in eV per atom: -0.14
Calculated total energy in eV/f.u.: -25.395
D(E_F) in states/eV/f.u.: 5.0

No. 9
A relaxed Nd2PaSn crystal, computed with GGA-PBE.

The structure in extended XYZ format:
```
4
Lattice="-2.0659 2.7114 -2.0610 -2.3481 -2.8799 -1.4352 -4.4863 0.8559 5.6228" Properties=species:S:1:pos:R:3 pbc="T T T"
Nd -1.2052 0.2299 1.5105
Nd -3.2812 0.6260 4.1124
Pa -2.2070 -0.0842 -1.7481
Sn -4.4502 0.3437 1.0633
```

Summary:
Calculated total energy in eV/f.u.: -23.532
Formation enthalpy at 0 K in eV/f.u.: -0.5
D(E_F) in states/eV/f.u.: 5.2

No. 10
A relaxed BaNaEr crystal, computed with GGA-PBE.

The structure in extended XYZ format:
```
6
Lattice="4.2039 0.0000 0.0000 0.0000 4.2039 0.0000 0.0000 0.0000 14.3235" Properties=species:S:1:pos:R:3 pbc="T T T"
Ba 2.1019 0.0000 10.9140
Ba 0.0000 2.1019 3.4095
Er 2.1019 0.0000 0.8262
Er 0.0000 2.1019 13.4973
Na 0.0000 2.1019 8.1350
Na 2.1019 0.0000 6.1885
```

Summary:
Calculated total energy in eV/f.u.: -7.445
Formation enthalpy at 0 K in eV/f.u.: 0.4
D(E_F) in states/eV/f.u.: 2.8